Entry from Alexandria via LeMat-Bulk: an optimized crystal structure of Sc2PbF (PBE).

## Properties
Formation energy (no corrections) = -1.31 eV/atom
Calculated density = 6.369 Mg/m³
VASP energy = -5.874 eV/atom
D(E_F) = 1.9 states/eV/f.u.
Energy above the most stable polymorph in this dataset = 0 meV/atom

Lattice parameters (Å, degrees): 6.891 6.891 5.983 54.83 54.83 90.00
Site moments in Bohr magnetons follow the coordinates.
Fractional coordinates of all 8 atoms:
1 Pb 0.000 0.000 0.000  -0.04
2 Pb 0.750 0.250 0.500  -0.03
3 Sc 0.529 0.125 0.250  0.31
4 Sc 0.221 0.625 0.250  0.32
5 Sc 0.375 0.471 0.750  0.31
6 Sc 0.875 0.779 0.750  0.32
7 F 0.500 0.500 0.000  0.01
8 F 0.250 0.750 0.500  0.01